(1)
A plane-wave DFT calculation with PBE was carried out for a relaxed structure of Cs6MgS4.

POSCAR file:
```
Cs6MgS4
1.0
10.773 0.000 0.000
-5.387 9.330 0.000
0.000 0.000 8.535
Cs Mg S
12 2 8
direct
0.066 0.533 0.000 Cs
0.146 0.291 0.677 Cs
0.146 0.854 0.677 Cs
0.291 0.146 0.177 Cs
0.467 0.533 0.000 Cs
0.467 0.934 0.000 Cs
0.533 0.066 0.500 Cs
0.533 0.467 0.500 Cs
0.709 0.854 0.677 Cs
0.854 0.146 0.177 Cs
0.854 0.709 0.177 Cs
0.934 0.467 0.500 Cs
0.333 0.667 0.393 Mg
0.667 0.333 0.893 Mg
0.203 0.406 0.298 S
0.203 0.797 0.298 S
0.333 0.667 0.690 S
0.406 0.203 0.798 S
0.594 0.797 0.298 S
0.667 0.333 0.190 S
0.797 0.203 0.798 S
0.797 0.594 0.798 S
```

Computed properties:
**Total energy**: -3.246 eV per atom
**Energy relative to the elements, uncorrected**: -1.13 eV per atom
**Symmetry**: P6_3mc (186)
**N(E_F)**: 0.000 states/eV per atom

(2)
A plane-wave DFT calculation with PBE was carried out for a relaxed structure of CsMgS3.

POSCAR file:
```
CsMgS3
1.0
5.429 0.000 0.000
0.000 5.429 0.000
0.000 0.000 5.429
Cs Mg S
1 1 3
direct
0.000 0.000 0.000 Cs
0.500 0.500 0.500 Mg
0.000 0.000 0.500 S
0.000 0.500 0.000 S
0.500 0.000 0.000 S
```

Computed properties:
**Total energy**: -1.985 eV per atom
**Energy relative to the elements, uncorrected**: 0.98 eV per atom
**Symmetry**: Pm-3m (221)
**N(E_F)**: 1.165 states/eV per atom

(3)
A plane-wave DFT calculation with PBE was carried out for a relaxed structure of CsMg2S2.

POSCAR file:
```
CsMg2S2
1.0
-2.216 2.216 7.420
2.216 -2.216 7.420
2.216 2.216 -7.420
Cs Mg S
1 2 2
direct
0.000 0.000 0.000 Cs
0.250 0.750 0.500 Mg
0.750 0.250 0.500 Mg
0.338 0.338 0.000 S
0.662 0.662 0.000 S
```

Computed properties:
**Total energy**: -3.439 eV per atom
**Energy relative to the elements, uncorrected**: -0.98 eV per atom
**Symmetry**: I4/mmm (139)
**N(E_F)**: 0.669 states/eV per atom